# 1
# Sm7Te2Pt2 PBE optimized geometry
# theoretical density = 8.80 Mg/m³
# N(E_F) = 0.733 states/eV/atom
# ΔE_f (raw) = -988 meV per atom
data_Sm7Te2Pt2
_chemical_formula_sum 'Sm14 Te4 Pt4'
_space_group_name_H-M_alt 'I m m 2'
_space_group_IT_number 44
_space_group_name_Hall 'I 2 -2'
_cell_length_a 4.020
_cell_length_b 16.211
_cell_length_c 9.835
_cell_angle_alpha 90.00
_cell_angle_beta 90.00
_cell_angle_gamma 90.00
loop_
_atom_site_label
_atom_site_type_symbol
_atom_site_fract_x
_atom_site_fract_y
_atom_site_fract_z
Sm1 Sm 0.000 0.000 0.000
Sm2 Sm 0.000 0.128 0.416
Sm3 Sm 0.000 0.318 0.621
Sm4 Sm 0.000 0.356 0.265
Te1 Te 0.000 0.000 0.665
Te2 Te 0.000 0.500 0.761
Pt1 Pt 0.000 0.238 0.925

=====

# 2
# Sm5TePt2 PBE optimized geometry
# theoretical density = 9.57 Mg/m³
# N(E_F) = 0.882 states/eV/atom
# ΔE_f (raw) = -968 meV per atom
data_Sm5TePt2
_chemical_formula_sum 'Sm20 Te4 Pt8'
_space_group_name_H-M_alt 'I 4/m c m'
_space_group_IT_number 140
_space_group_name_Hall '-I 4 2c'
_cell_length_a 8.007
_cell_length_b 8.007
_cell_length_c 13.742
_cell_angle_alpha 90.00
_cell_angle_beta 90.00
_cell_angle_gamma 90.00
loop_
_atom_site_label
_atom_site_type_symbol
_atom_site_fract_x
_atom_site_fract_y
_atom_site_fract_z
Sm1 Sm 0.000 0.000 0.000
Sm2 Sm 0.155 0.345 0.137
Te1 Te 0.000 0.000 0.250
Pt1 Pt 0.140 0.360 0.500

=====

# 3
# Sm3TePt PBE optimized geometry
# theoretical density = 7.76 Mg/m³
# N(E_F) = 0.793 states/eV/atom
# ΔE_f (raw) = -946 meV per atom
data_Sm3TePt
_chemical_formula_sum 'Sm24 Te8 Pt8'
_space_group_name_H-M_alt 'C 1 2/c 1'
_space_group_IT_number 15
_space_group_name_Hall '-C 2yc'
_cell_length_a 15.502
_cell_length_b 12.184
_cell_length_c 7.127
_cell_angle_alpha 90.00
_cell_angle_beta 100.22
_cell_angle_gamma 90.00
loop_
_atom_site_label
_atom_site_type_symbol
_atom_site_fract_x
_atom_site_fract_y
_atom_site_fract_z
Sm1 Sm 0.100 0.062 0.462
Sm2 Sm 0.100 0.245 0.956
Sm3 Sm 0.100 0.410 0.447
Te1 Te 0.250 0.092 0.831
Pt1 Pt 0.000 0.228 0.250
Pt2 Pt 0.000 0.414 0.750

=====

# 4
# Sm4Te3Pt PBE optimized geometry
# theoretical density = 6.67 Mg/m³
# N(E_F) = 1.412 states/eV/atom
# offset from the most stable computed form = 262 meV/atom
# ΔE_f (raw) = -1073 meV per atom
data_Sm4Te3Pt
_chemical_formula_sum 'Sm8 Te6 Pt2'
_space_group_name_H-M_alt 'P m m n'
_space_group_IT_number 59
_cell_length_a 6.198
_cell_length_b 10.200
_cell_length_c 9.286
_cell_angle_alpha 90.00
_cell_angle_beta 90.00
_cell_angle_gamma 90.00
loop_
_space_group_symop_operation_xyz
'x,y,z'
'-x,-y,-z'
'-x+1/2,-y+1/2,z'
'x+1/2,y+1/2,-z'
'x+1/2,-y,-z'
'-x+1/2,y,z'
'-x,y+1/2,-z'
'x,-y+1/2,z'
loop_
_atom_site_label
_atom_site_type_symbol
_atom_site_fract_x
_atom_site_fract_y
_atom_site_fract_z
Sm1 Sm 0.250 0.030 0.189
Sm2 Sm 0.250 0.250 0.655
Sm3 Sm 0.250 0.750 0.646
Te1 Te 0.250 0.503 0.849
Te2 Te 0.250 0.750 0.312
Pt1 Pt 0.250 0.250 0.358

=====

# 5
# Sm2TePt PBE optimized geometry
# theoretical density = 8.88 Mg/m³
# N(E_F) = 0.187 states/eV/atom
# offset from the most stable computed form = 5 meV/atom
# ΔE_f (raw) = -1263 meV per atom
data_Sm2TePt
_chemical_formula_sum 'Sm6 Te3 Pt3'
_space_group_name_H-M_alt 'R 3 m'
_space_group_IT_number 160
_space_group_name_Hall 'R 3 -2"'
_cell_length_a 4.2482
_cell_length_b 4.2482
_cell_length_c 22.3857
_cell_angle_alpha 90.00
_cell_angle_beta 90.00
_cell_angle_gamma 120.00
loop_
_atom_site_label
_atom_site_type_symbol
_atom_site_fract_x
_atom_site_fract_y
_atom_site_fract_z
Sm1 Sm 0.0000 0.0000 0.0000
Sm2 Sm 0.0000 0.0000 0.1938
Te1 Te 0.0000 0.0000 0.4300
Pt1 Pt 0.0000 0.0000 0.5966

=====

# 6
# Sm4Te3Pt PBE optimized geometry
# theoretical density = 8.10 Mg/m³
# N(E_F) = 0.649 states/eV/atom
# offset from the most stable computed form = 0 meV/atom
# ΔE_f (raw) = -1334 meV per atom
data_Sm4Te3Pt
_chemical_formula_sum 'Sm8 Te6 Pt2'
_space_group_name_H-M_alt 'C m m m'
_space_group_IT_number 65
_space_group_name_Hall '-C 2 2'
_cell_length_a 9.005
_cell_length_b 12.525
_cell_length_c 4.288
_cell_angle_alpha 90.00
_cell_angle_beta 90.00
_cell_angle_gamma 90.00
loop_
_atom_site_label
_atom_site_type_symbol
_atom_site_fract_x
_atom_site_fract_y
_atom_site_fract_z
Sm1 Sm 0.000 0.239 0.000
Sm2 Sm 0.216 0.000 0.500
Te1 Te 0.000 0.500 0.000
Te2 Te 0.250 0.250 0.500
Pt1 Pt 0.000 0.000 0.000

=====

# 7
# SmTePt PBE optimized geometry
# theoretical density = 10.27 Mg/m³
# N(E_F) = 0.184 states/eV/atom
# ΔE_f (raw) = -760 meV per atom
data_SmTePt
_chemical_formula_sum 'Sm2 Te2 Pt2'
_space_group_name_H-M_alt 'P 4/n m m'
_space_group_IT_number 129
_cell_length_a 4.444
_cell_length_b 4.444
_cell_length_c 7.748
_cell_angle_alpha 90.00
_cell_angle_beta 90.00
_cell_angle_gamma 90.00
loop_
_space_group_symop_operation_xyz
'x,y,z'
'-x,-y,-z'
'-y+1/2,x,z'
'y+1/2,-x,-z'
'-x+1/2,-y+1/2,z'
'x+1/2,y+1/2,-z'
'y,-x+1/2,z'
'-y,x+1/2,-z'
'x+1/2,-y,-z'
'-x+1/2,y,z'
'-y,-x,-z'
'y,x,z'
'-x,y+1/2,-z'
'x,-y+1/2,z'
'y+1/2,x+1/2,-z'
'-y+1/2,-x+1/2,z'
loop_
_atom_site_label
_atom_site_type_symbol
_atom_site_fract_x
_atom_site_fract_y
_atom_site_fract_z
Sm1 Sm 0.250 0.250 0.156
Te1 Te 0.250 0.750 0.500
Pt1 Pt 0.250 0.250 0.798

=====

# 8
# SmThTePt PBE optimized geometry
# theoretical density = 9.88 Mg/m³
# N(E_F) = 0.953 states/eV/atom
# ΔE_f (raw) = -1203 meV per atom
data_SmThTePt
_chemical_formula_sum 'Sm3 Th3 Te3 Pt3'
_space_group_name_H-M_alt 'R 3 m'
_space_group_IT_number 160
_space_group_name_Hall 'R 3 -2"'
_cell_length_a 4.2139
_cell_length_b 4.2139
_cell_length_c 23.1034
_cell_angle_alpha 90.00
_cell_angle_beta 90.00
_cell_angle_gamma 120.00
loop_
_atom_site_label
_atom_site_type_symbol
_atom_site_fract_x
_atom_site_fract_y
_atom_site_fract_z
Sm1 Sm 0.0000 0.0000 0.0000
Th1 Th 0.0000 0.0000 0.1927
Te1 Te 0.0000 0.0000 0.7625
Pt1 Pt 0.0000 0.0000 0.5930

=====

# 9
# SmTh3Pt3 PBE optimized geometry
# theoretical density = 12.72 Mg/m³
# N(E_F) = 1.007 states/eV/atom
# ΔH_f (0 K) = -7.12 eV per formula unit
data_SmTh3Pt3
_chemical_formula_sum 'Sm4 Th12 Pt12'
_space_group_name_H-M_alt 'P n m a'
_space_group_IT_number 62
_space_group_name_Hall '-P 2ac 2n'
_cell_length_a 12.669
_cell_length_b 4.089
_cell_length_c 14.436
_cell_angle_alpha 90.00
_cell_angle_beta 90.00
_cell_angle_gamma 90.00
loop_
_atom_site_label
_atom_site_type_symbol
_atom_site_fract_x
_atom_site_fract_y
_atom_site_fract_z
Sm1 Sm 0.012 0.250 0.187
Th1 Th 0.043 0.250 0.607
Th2 Th 0.186 0.750 0.034
Th3 Th 0.245 0.750 0.307
Pt1 Pt 0.064 0.250 0.941
Pt2 Pt 0.121 0.250 0.409
Pt3 Pt 0.204 0.750 0.668

=====

# 10
# SmTh2Pt2 PBE optimized geometry
# theoretical density = 13.00 Mg/m³
# N(E_F) = 1.060 states/eV/atom
# ΔH_f (0 K) = -4.86 eV per formula unit
data_SmTh2Pt2
_chemical_formula_sum 'Sm2 Th4 Pt4'
_space_group_name_H-M_alt 'P 4/m b m'
_space_group_IT_number 127
_space_group_name_Hall '-P 4 2ab'
_cell_length_a 8.160
_cell_length_b 8.160
_cell_length_c 3.855
_cell_angle_alpha 90.00
_cell_angle_beta 90.00
_cell_angle_gamma 90.00
loop_
_atom_site_label
_atom_site_type_symbol
_atom_site_fract_x
_atom_site_fract_y
_atom_site_fract_z
Sm1 Sm 0.000 0.000 0.000
Th1 Th 0.168 0.332 0.500
Pt1 Pt 0.130 0.630 0.000

=====

# 11
# Sm2Th2Pt15 PBE optimized geometry
# theoretical density = 17.04 Mg/m³
# N(E_F) = 0.841 states/eV/atom
# ΔH_f (0 K) = -13.47 eV per formula unit
data_Sm2Th2Pt15
_chemical_formula_sum 'Sm6 Th6 Pt45'
_space_group_name_H-M_alt 'R -3 m'
_space_group_IT_number 166
_space_group_name_Hall '-R 3 2"'
_cell_length_a 9.4162
_cell_length_b 9.4162
_cell_length_c 14.0522
_cell_angle_alpha 90.00
_cell_angle_beta 90.00
_cell_angle_gamma 120.00
loop_
_atom_site_label
_atom_site_type_symbol
_atom_site_fract_x
_atom_site_fract_y
_atom_site_fract_z
Sm1 Sm 0.0000 0.0000 0.1352
Th1 Th 0.0000 0.0000 0.3911
Pt1 Pt 0.0000 0.3149 0.5000
Pt2 Pt 0.0000 0.5000 0.0000
Pt3 Pt 0.0076 0.5038 0.6556

=====

# 12
# SmThPt2 PBE optimized geometry
# theoretical density = 12.36 Mg/m³
# N(E_F) = 0.572 states/eV/atom
# offset from the most stable computed form = 101 meV/atom
# ΔH_f (0 K) = -4.53 eV per formula unit
data_SmThPt2
_chemical_formula_sum 'Sm3 Th3 Pt6'
_space_group_name_H-M_alt 'R 3 m'
_space_group_IT_number 160
_space_group_name_Hall 'R 3 -2"'
_cell_length_a 4.1086
_cell_length_b 4.1086
_cell_length_c 21.3056
_cell_angle_alpha 90.00
_cell_angle_beta 90.00
_cell_angle_gamma 120.00
loop_
_atom_site_label
_atom_site_type_symbol
_atom_site_fract_x
_atom_site_fract_y
_atom_site_fract_z
Sm1 Sm 0.0000 0.0000 0.0000
Th1 Th 0.0000 0.0000 0.8281
Pt1 Pt 0.0000 0.0000 0.2452
Pt2 Pt 0.0000 0.0000 0.4148

=====

Number 1: M_tot 0.0 μB/f.u.. Number 2: M_tot 0.0 μB/f.u.. Number 3: M_tot 0.0 μB/f.u.. Number 4: M_tot 0.2 μB/f.u.. Number 5: M_tot 0.0 μB/f.u.. Number 6: M_tot 0.0 μB/f.u.. Number 7: M_tot 0.0 μB/f.u.. Number 8: M_tot 0.0 μB/f.u.. Number 9: M_tot 0.0 μB/f.u.. Number 10: M_tot 0.0 μB/f.u.. Number 11: M_tot 0.0 μB/f.u.. Number 12: M_tot 0.0 μB/f.u..